[1]
Density functional theory data (PBE) for a relaxed structure of Pa2In3Cu4.

Calculated formation energy in eV/atom: 0.006
N(E_F) in states/eV/cell: 6.52
E in eV per formula unit: -43.54

The structure in CIF format:
```
data_Pa2In3Cu4
_space_group_name_H-M_alt 'P -3 m 1'
_space_group_IT_number 164
_space_group_name_Hall '-P 3 2"'
_cell_length_a 4.6714
_cell_length_b 4.6714
_cell_length_c 9.3213
_cell_angle_alpha 90.00
_cell_angle_beta 90.00
_cell_angle_gamma 120.00
loop_
_atom_site_label
_atom_site_fract_x
_atom_site_fract_y
_atom_site_fract_z
_atom_site_occupancy
Pa1 0.3333 0.6667 0.2942 1
In1 0.0000 0.0000 0.5000 1
In2 0.3333 0.6667 0.9169 1
Cu1 0.0000 0.0000 0.1484 1
Cu2 0.3333 0.6667 0.6023 1
```

=====

[2]
Density functional theory data (PBE) for a relaxed structure of PaInCu.

Calculated formation energy in eV/atom: 0.127
N(E_F) in states/eV/cell: 3.67
E in eV per formula unit: -15.95

The structure in CIF format:
```
data_PaInCu
_space_group_name_H-M_alt 'P 3 m 1'
_space_group_IT_number 156
_cell_length_a 3.1456
_cell_length_b 3.1456
_cell_length_c 7.3769
_cell_angle_alpha 90.00
_cell_angle_beta 90.00
_cell_angle_gamma 120.00
loop_
_space_group_symop_operation_xyz
'x,y,z'
'-y,x-y,z'
'-x+y,-x,z'
'-y,-x,z'
'-x+y,y,z'
'x,x-y,z'
loop_
_atom_site_label
_atom_site_fract_x
_atom_site_fract_y
_atom_site_fract_z
_atom_site_occupancy
Pa1 0.0000 0.0000 0.0000 1
In1 0.3333 0.6667 0.6141 1
Cu1 0.6667 0.3333 0.3219 1
```

=====

[3]
Density functional theory data (PBE) for a relaxed structure of Pa2InCu.

Calculated formation energy in eV/atom: 0.031
ΔE to the lowest computed polymorph in meV/atom: 0
N(E_F) in states/eV/cell: 7.22
E in eV per formula unit: -25.70

The structure in CIF format:
```
data_Pa2InCu
_space_group_name_H-M_alt 'P 4/m m m'
_space_group_IT_number 123
_space_group_name_Hall '-P 4 2'
_cell_length_a 3.114
_cell_length_b 3.114
_cell_length_c 9.075
_cell_angle_alpha 90.00
_cell_angle_beta 90.00
_cell_angle_gamma 90.00
loop_
_atom_site_label
_atom_site_fract_x
_atom_site_fract_y
_atom_site_fract_z
_atom_site_occupancy
Pa1 0.000 0.000 0.221 1
In1 0.500 0.500 0.500 1
Cu1 0.500 0.500 0.000 1
```

=====

[4]
Density functional theory data (PBE) for a relaxed structure of PaInCu.

Calculated formation energy in eV/atom: 0.032
N(E_F) in states/eV/cell: 9.06
E in eV per formula unit: -16.24

The structure in CIF format:
```
data_PaInCu
_space_group_name_H-M_alt 'I 4 m m'
_space_group_IT_number 107
_space_group_name_Hall 'I 4 -2'
_cell_length_a 3.146
_cell_length_b 3.146
_cell_length_c 12.446
_cell_angle_alpha 90.00
_cell_angle_beta 90.00
_cell_angle_gamma 90.00
loop_
_atom_site_label
_atom_site_fract_x
_atom_site_fract_y
_atom_site_fract_z
_atom_site_occupancy
Pa1 0.000 0.000 0.000 1
In1 0.000 0.000 0.703 1
Cu1 0.000 0.000 0.339 1
```

=====

[5]
Density functional theory data (PBE) for a relaxed structure of PaInCu.

Calculated formation energy in eV/atom: -0.016
N(E_F) in states/eV/cell: 8.55
E in eV per formula unit: -16.38

The structure in CIF format:
```
data_PaInCu
_space_group_name_H-M_alt 'P 63/m m c'
_space_group_IT_number 194
_space_group_name_Hall '-P 6c 2c'
_cell_length_a 4.8161
_cell_length_b 4.8161
_cell_length_c 6.2463
_cell_angle_alpha 90.00
_cell_angle_beta 90.00
_cell_angle_gamma 120.00
loop_
_atom_site_label
_atom_site_fract_x
_atom_site_fract_y
_atom_site_fract_z
_atom_site_occupancy
Pa1 0.0000 0.0000 0.0000 1
In1 0.3333 0.6667 0.2500 1
Cu1 0.3333 0.6667 0.7500 1
```

=====

[6]
Density functional theory data (PBE) for a relaxed structure of PaInCu.

Calculated formation energy in eV/atom: 0.044
N(E_F) in states/eV/cell: 15.95
E in eV per formula unit: -16.20

The structure in CIF format:
```
data_PaInCu
_space_group_name_H-M_alt 'F -4 3 m'
_space_group_IT_number 216
_space_group_name_Hall 'F -4 2 3'
_cell_length_a 6.522
_cell_length_b 6.522
_cell_length_c 6.522
_cell_angle_alpha 90.00
_cell_angle_beta 90.00
_cell_angle_gamma 90.00
loop_
_atom_site_label
_atom_site_fract_x
_atom_site_fract_y
_atom_site_fract_z
_atom_site_occupancy
Pa1 0.000 0.000 0.000 1
In1 0.000 0.000 0.500 1
Cu1 0.250 0.250 0.250 1
```

=====

[7]
Density functional theory data (PBE) for a relaxed structure of PaInCu5.

Calculated formation energy in eV/atom: -0.098
N(E_F) in states/eV/cell: 11.09
E in eV per formula unit: -33.40

The structure in CIF format:
```
data_PaInCu5
_space_group_name_H-M_alt 'P n m a'
_space_group_IT_number 62
_cell_length_a 8.259
_cell_length_b 5.029
_cell_length_c 10.509
_cell_angle_alpha 90.00
_cell_angle_beta 90.00
_cell_angle_gamma 90.00
loop_
_space_group_symop_operation_xyz
'x,y,z'
'-x,-y,-z'
'-x+1/2,-y,z+1/2'
'x+1/2,y,-z+1/2'
'x+1/2,-y+1/2,-z+1/2'
'-x+1/2,y+1/2,z+1/2'
'-x,y+1/2,-z'
'x,-y+1/2,z'
loop_
_atom_site_label
_atom_site_fract_x
_atom_site_fract_y
_atom_site_fract_z
_atom_site_occupancy
Pa1 0.249 0.250 0.059 1
In1 0.135 0.250 0.361 1
Cu1 0.062 0.250 0.604 1
Cu2 0.070 0.502 0.814 1
Cu3 0.085 0.750 0.018 1
Cu4 0.183 0.750 0.245 1
```

=====

[8]
Density functional theory data (PBE) for a relaxed structure of PaInCuPd.

Calculated formation energy in eV/atom: -0.322
N(E_F) in states/eV/cell: 13.02
E in eV per formula unit: -22.81

The structure in CIF format:
```
data_PaInCuPd
_space_group_name_H-M_alt 'F -4 3 m'
_space_group_IT_number 216
_space_group_name_Hall 'F -4 2 3'
_cell_length_a 6.791
_cell_length_b 6.791
_cell_length_c 6.791
_cell_angle_alpha 90.00
_cell_angle_beta 90.00
_cell_angle_gamma 90.00
loop_
_atom_site_label
_atom_site_fract_x
_atom_site_fract_y
_atom_site_fract_z
_atom_site_occupancy
Pa1 0.000 0.000 0.000 1
In1 0.000 0.000 0.500 1
Cu1 0.250 0.250 0.250 1
Pd1 0.250 0.250 0.750 1
```

=====

[9]
Density functional theory data (PBE) for a relaxed structure of PaInCuPt.

Calculated formation energy in eV/atom: -0.469
N(E_F) in states/eV/cell: 14.52
E in eV per formula unit: -24.25

The structure in CIF format:
```
data_PaInCuPt
_space_group_name_H-M_alt 'F -4 3 m'
_space_group_IT_number 216
_space_group_name_Hall 'F -4 2 3'
_cell_length_a 6.801
_cell_length_b 6.801
_cell_length_c 6.801
_cell_angle_alpha 90.00
_cell_angle_beta 90.00
_cell_angle_gamma 90.00
loop_
_atom_site_label
_atom_site_fract_x
_atom_site_fract_y
_atom_site_fract_z
_atom_site_occupancy
Pa1 0.000 0.000 0.000 1
In1 0.000 0.000 0.500 1
Cu1 0.250 0.250 0.750 1
Pt1 0.250 0.250 0.250 1
```

=====

[10]
Density functional theory data (PBE) for a relaxed structure of PaInCuRh.

Calculated formation energy in eV/atom: -0.318
N(E_F) in states/eV/cell: 20.68
E in eV per formula unit: -24.95

The structure in CIF format:
```
data_PaInCuRh
_space_group_name_H-M_alt 'F -4 3 m'
_space_group_IT_number 216
_space_group_name_Hall 'F -4 2 3'
_cell_length_a 6.738
_cell_length_b 6.738
_cell_length_c 6.738
_cell_angle_alpha 90.00
_cell_angle_beta 90.00
_cell_angle_gamma 90.00
loop_
_atom_site_label
_atom_site_fract_x
_atom_site_fract_y
_atom_site_fract_z
_atom_site_occupancy
Pa1 0.000 0.000 0.000 1
In1 0.000 0.000 0.500 1
Cu1 0.250 0.250 0.750 1
Rh1 0.250 0.250 0.250 1
```

=====

[11]
Density functional theory data (PBE) for a relaxed structure of PaInCu2S4.

N(E_F) in states/eV/cell: 2.95
E_form (uncorrected) in kJ/mol of formula units: -504
E in eV per formula unit: -42.16

The structure in CIF format:
```
data_PaInCu2S4
_space_group_name_H-M_alt 'I 2 2 2'
_space_group_IT_number 23
_cell_length_a 6.541
_cell_length_b 6.830
_cell_length_c 6.903
_cell_angle_alpha 90.00
_cell_angle_beta 90.00
_cell_angle_gamma 90.00
loop_
_space_group_symop_operation_xyz
'x,y,z'
'-x,-y,z'
'x,-y,-z'
'-x,y,-z'
'x+1/2,y+1/2,z+1/2'
'-x+1/2,-y+1/2,z+1/2'
'x+1/2,-y+1/2,-z+1/2'
'-x+1/2,y+1/2,-z+1/2'
loop_
_atom_site_label
_atom_site_fract_x
_atom_site_fract_y
_atom_site_fract_z
_atom_site_occupancy
Pa1 0.000 0.000 0.000 1
In1 0.000 0.000 0.500 1
Cu1 0.000 0.500 0.312 1
S1 0.244 0.270 0.298 1
```

=====

[12]
Density functional theory data (PBE) for a relaxed structure of PaInCu2Se4.

N(E_F) in states/eV/cell: 4.52
E_form (uncorrected) in kJ/mol of formula units: -403
E in eV per formula unit: -38.54

The structure in CIF format:
```
data_PaInCu2Se4
_space_group_name_H-M_alt 'I 2 2 2'
_space_group_IT_number 23
_cell_length_a 6.810
_cell_length_b 7.211
_cell_length_c 7.260
_cell_angle_alpha 90.00
_cell_angle_beta 90.00
_cell_angle_gamma 90.00
loop_
_space_group_symop_operation_xyz
'x,y,z'
'-x,-y,z'
'x,-y,-z'
'-x,y,-z'
'x+1/2,y+1/2,z+1/2'
'-x+1/2,-y+1/2,z+1/2'
'x+1/2,-y+1/2,-z+1/2'
'-x+1/2,y+1/2,-z+1/2'
loop_
_atom_site_label
_atom_site_fract_x
_atom_site_fract_y
_atom_site_fract_z
_atom_site_occupancy
Pa1 0.000 0.000 0.000 1
In1 0.000 0.000 0.500 1
Cu1 0.000 0.500 0.326 1
Se1 0.245 0.267 0.300 1
```

=====

[13]
Density functional theory data (PBE) for a relaxed structure of Pa2InCu2Se6.

N(E_F) in states/eV/cell: 5.78
E_form (uncorrected) in kJ/mol of formula units: -898
E in eV per formula unit: -60.13

The structure in CIF format:
```
data_Pa2InCu2Se6
_space_group_name_H-M_alt 'P -1'
_space_group_IT_number 2
_cell_length_a 7.427
_cell_length_b 7.544
_cell_length_c 7.555
_cell_angle_alpha 90.27
_cell_angle_beta 117.94
_cell_angle_gamma 118.93
loop_
_space_group_symop_operation_xyz
'x,y,z'
'-x,-y,-z'
loop_
_atom_site_label
_atom_site_fract_x
_atom_site_fract_y
_atom_site_fract_z
_atom_site_occupancy
Pa1 0.166 0.334 0.499 1
In1 0.500 0.000 0.500 1
Cu1 0.380 0.337 0.059 1
Se1 0.024 0.075 0.741 1
Se2 0.286 0.704 0.742 1
Se3 0.350 0.560 0.257 1
```

=====

[14]
Density functional theory data (PBE) for a relaxed structure of Pa3In3CuSe8.

N(E_F) in states/eV/cell: 28.06
E_form (uncorrected) in kJ/mol of formula units: -1208
E in eV per formula unit: -81.20

The structure in CIF format:
```
data_Pa3In3CuSe8
_space_group_name_H-M_alt 'C 1 2/m 1'
_space_group_IT_number 12
_cell_length_a 14.075
_cell_length_b 8.126
_cell_length_c 9.172
_cell_angle_alpha 90.00
_cell_angle_beta 120.77
_cell_angle_gamma 90.00
loop_
_space_group_symop_operation_xyz
'x,y,z'
'-x,-y,-z'
'-x,y,-z'
'x,-y,z'
'x+1/2,y+1/2,z'
'-x+1/2,-y+1/2,-z'
'-x+1/2,y+1/2,-z'
'x+1/2,-y+1/2,z'
loop_
_atom_site_label
_atom_site_fract_x
_atom_site_fract_y
_atom_site_fract_z
_atom_site_occupancy
Pa1 0.000 0.000 0.000 1
Pa2 0.250 0.250 0.000 1
In1 0.000 0.500 0.500 1
In2 0.250 0.250 0.500 1
Cu1 0.000 0.500 0.000 1
Se1 0.016 0.253 0.799 1
Se2 0.230 0.500 0.199 1
Se3 0.238 0.000 0.214 1
```

=====

[15]
Density functional theory data (PBE) for a relaxed structure of PaIn2Cu2Se4.

N(E_F) in states/eV/cell: 7.63
E_form (uncorrected) in kJ/mol of formula units: -540
E in eV per formula unit: -42.70

The structure in CIF format:
```
data_PaIn2Cu2Se4
_space_group_name_H-M_alt 'C 1 2/m 1'
_space_group_IT_number 12
_cell_length_a 14.683
_cell_length_b 4.005
_cell_length_c 8.238
_cell_angle_alpha 90.00
_cell_angle_beta 108.94
_cell_angle_gamma 90.00
loop_
_space_group_symop_operation_xyz
'x,y,z'
'-x,-y,-z'
'-x,y,-z'
'x,-y,z'
'x+1/2,y+1/2,z'
'-x+1/2,-y+1/2,-z'
'-x+1/2,y+1/2,-z'
'x+1/2,-y+1/2,z'
loop_
_atom_site_label
_atom_site_fract_x
_atom_site_fract_y
_atom_site_fract_z
_atom_site_occupancy
Pa1 0.000 0.000 0.000 1
In1 0.137 0.000 0.590 1
Cu1 0.184 0.500 0.991 1
Se1 0.024 0.500 0.767 1
Se2 0.201 0.000 0.182 1
```

=====

[16]
Density functional theory data (PBE) for a relaxed structure of PaIn2Cu2Te4.

N(E_F) in states/eV/cell: 8.49
E_form (uncorrected) in kJ/mol of formula units: -319
E in eV per formula unit: -39.03

The structure in CIF format:
```
data_PaIn2Cu2Te4
_space_group_name_H-M_alt 'C 1 2/m 1'
_space_group_IT_number 12
_cell_length_a 15.430
_cell_length_b 4.207
_cell_length_c 8.636
_cell_angle_alpha 90.00
_cell_angle_beta 108.93
_cell_angle_gamma 90.00
loop_
_space_group_symop_operation_xyz
'x,y,z'
'-x,-y,-z'
'-x,y,-z'
'x,-y,z'
'x+1/2,y+1/2,z'
'-x+1/2,-y+1/2,-z'
'-x+1/2,y+1/2,-z'
'x+1/2,-y+1/2,z'
loop_
_atom_site_label
_atom_site_fract_x
_atom_site_fract_y
_atom_site_fract_z
_atom_site_occupancy
Pa1 0.000 0.000 0.000 1
In1 0.134 0.000 0.574 1
Cu1 0.184 0.500 0.994 1
Te1 0.024 0.500 0.756 1
Te2 0.205 0.000 0.192 1
```

=====

[17]
Density functional theory data (PBE) for a relaxed structure of PaZnInCu.

Calculated formation energy in eV/atom: -0.043
N(E_F) in states/eV/cell: 21.38
E in eV per formula unit: -17.78

The structure in CIF format:
```
data_PaZnInCu
_space_group_name_H-M_alt 'F -4 3 m'
_space_group_IT_number 216
_space_group_name_Hall 'F -4 2 3'
_cell_length_a 6.789
_cell_length_b 6.789
_cell_length_c 6.789
_cell_angle_alpha 90.00
_cell_angle_beta 90.00
_cell_angle_gamma 90.00
loop_
_atom_site_label
_atom_site_fract_x
_atom_site_fract_y
_atom_site_fract_z
_atom_site_occupancy
Pa1 0.000 0.000 0.000 1
Zn1 0.250 0.250 0.750 1
In1 0.000 0.000 0.500 1
Cu1 0.250 0.250 0.250 1
```

=====

[18]
Density functional theory data (PBE) for a relaxed structure of InCuPb.

Calculated formation energy in eV/atom: 0.096
N(E_F) in states/eV/cell: 5.27
E in eV per formula unit: -10.25

The structure in CIF format:
```
data_InCuPb
_space_group_name_H-M_alt 'C 1 m 1'
_space_group_IT_number 8
_cell_length_a 9.346
_cell_length_b 5.681
_cell_length_c 6.878
_cell_angle_alpha 90.00
_cell_angle_beta 132.25
_cell_angle_gamma 90.00
loop_
_space_group_symop_operation_xyz
'x,y,z'
'x,-y,z'
'x+1/2,y+1/2,z'
'x+1/2,-y+1/2,z'
loop_
_atom_site_label
_atom_site_fract_x
_atom_site_fract_y
_atom_site_fract_z
_atom_site_occupancy
In1 0.000 0.000 0.000 1
In2 0.151 0.000 0.655 1
Cu1 0.322 0.249 0.142 1
Pb1 0.171 0.500 0.344 1
Pb2 0.486 0.000 0.656 1
```

=====

[19]
Density functional theory data (PBE) for a relaxed structure of In2CuPb2.

Calculated formation energy in eV/atom: 0.154
ΔE to the lowest computed polymorph in meV/atom: 0
N(E_F) in states/eV/cell: 3.63
E in eV per formula unit: -16.22

The structure in CIF format:
```
data_In2CuPb2
_space_group_name_H-M_alt 'P 4/m b m'
_space_group_IT_number 127
_space_group_name_Hall '-P 4 2ab'
_cell_length_a 6.986
_cell_length_b 6.986
_cell_length_c 5.519
_cell_angle_alpha 90.00
_cell_angle_beta 90.00
_cell_angle_gamma 90.00
loop_
_atom_site_label
_atom_site_fract_x
_atom_site_fract_y
_atom_site_fract_z
_atom_site_occupancy
In1 0.153 0.347 0.000 1
Cu1 0.000 0.000 0.000 1
Pb1 0.171 0.671 0.500 1
```

=====

[20]
Density functional theory data (PBE) for a relaxed structure of In4CuPb.

Calculated formation energy in eV/atom: 0.334
N(E_F) in states/eV/cell: 10.88
E in eV per formula unit: -16.76

The structure in CIF format:
```
data_In4CuPb
_space_group_name_H-M_alt 'F -4 3 m'
_space_group_IT_number 216
_space_group_name_Hall 'F -4 2 3'
_cell_length_a 8.685
_cell_length_b 8.685
_cell_length_c 8.685
_cell_angle_alpha 90.00
_cell_angle_beta 90.00
_cell_angle_gamma 90.00
loop_
_atom_site_label
_atom_site_fract_x
_atom_site_fract_y
_atom_site_fract_z
_atom_site_occupancy
In1 0.125 0.125 0.125 1
Cu1 0.000 0.000 0.500 1
Pb1 0.250 0.250 0.750 1
```